12
Lattice="4.836 -0.571 -0.050 1.725 4.554 -0.050 0.240 0.146 8.020" Properties=species:S:1:pos:R:3 comment="Li2AcSbF8, relaxed, DFT PBE-GGA" dos_at_fermi_per_ev_cell=0.000 final_energy_ev_per_atom=-5.32 magnetic_moment_mub_per_cell=0.00 density_g_cm3=4.6 pbc="T T T"
F 2.452 3.460 1.823
F 4.740 2.878 0.130
F 4.348 0.670 6.097
F 2.060 1.251 7.789
Li 2.795 1.697 6.123
Li 4.006 2.432 1.797
F 4.652 2.824 3.566
Sb 0.000 0.000 0.000
Ac 0.120 0.073 4.010
F 4.201 0.580 1.823
F 2.600 3.549 6.097
F 2.149 1.305 4.354